Computed, not measured: a relaxed La2Sc2Tc crystal at the PBE level of DFT.

abc: 6.8544 6.8544 5.7205
angles: 90.00 90.00 90.00
Positions (direct):
La: 0.1721 0.3279 0.0000
La: 0.3279 0.8279 0.0000
La: 0.6721 0.1721 0.0000
La: 0.8279 0.6721 0.0000
Sc: 0.1624 0.6624 0.5000
Sc: 0.3376 0.1624 0.5000
Sc: 0.6624 0.8376 0.5000
Sc: 0.8376 0.3376 0.5000
Tc: 0.0000 0.0000 0.5000
Tc: 0.5000 0.5000 0.5000

Results
N(E_F): 17.81 states/eV per cell
Space-group type: P4/mbm (127)
Volume: 269 Å³/cell
Total DFT energy (no corrections): -64.39 eV/cell
E_form: 0.691 eV/f.u.